Er2TcI | PBE | relaxed

a = 3.7164 Å, b = 3.7164 Å, c = 8.9828 Å
α = 78.06°, β = 78.06°, γ = 60.00°
Sites, in units of the cell vectors:
Tc 0.0000 0.0000 0.0000
Er 0.2634 0.2634 0.2098
Er 0.7366 0.7366 0.7902
I 0.5000 0.5000 0.5000

Summary:
As for the formation energy from raw total energies: -28.4 kJ/mol of atoms. The total energy is -22.22 eV for the cell shown. The space group is No. 166. The excess energy over the best structure of this formula in the dataset is 106 meV/atom.